No. 1
A plane-wave DFT calculation with PBE-GGA was carried out for VSeBr2Cl after structural relaxation.

a b c (Å): 5.0531 5.0531 5.4280
angles (deg): 90.00 90.00 90.00
Closest atoms and distances in Å follow each position.
Element x y z (fractional)
V 0.0000 0.0000 0.0000  4 Se 3.57, 8 Br 3.71
Se 0.5000 0.5000 0.0000  2 Cl 2.71
Br 0.0000 0.5000 0.5000  2 Cl 2.53
Br 0.5000 0.0000 0.5000  2 Cl 2.53
Cl 0.5000 0.5000 0.5000  4 Br 2.53, 2 Se 2.71


No. 2
A plane-wave DFT calculation with PBE-GGA was carried out for LaOs2 after structural relaxation.

Calculated values
DFT formation energy = 1.04 eV/f.u.

a b c (Å): 10.3852 10.3852 4.3000
angles (deg): 90.00 90.00 163.89
Closest atoms and distances in Å follow each position.
Element x y z (fractional)
La 0.1744 0.8256 0.7500  2 La 2.91, 4 Os 3.00-3.15
La 0.8256 0.1744 0.2500  2 La 2.91, 4 Os 3.00-3.15
Os 0.0728 0.9272 0.2500  8 Os 2.69-2.91, 2 La 3.00
Os 0.4617 0.5383 0.2500  10 Os 2.66-2.91
Os 0.5383 0.4617 0.7500  10 Os 2.66-2.91
Os 0.9272 0.0728 0.7500  8 Os 2.69-2.91, 2 La 3.00


No. 3
A plane-wave DFT calculation with PBE-GGA was carried out for K2AuCl after structural relaxation.

a b c (Å): 5.5751 5.5751 5.5751
angles (deg): 60.00 60.00 60.00
Closest atoms and distances in Å follow each position.
Element x y z (fractional)
K 0.0000 0.0000 0.0000  4 Cl 3.41, 4 K 3.41
K 0.2500 0.2500 0.2500  4 Au 3.41, 4 K 3.41
Au 0.5000 0.5000 0.5000  4 Cl 3.41, 4 K 3.41
Cl 0.7500 0.7500 0.7500  4 Au 3.41, 4 K 3.41


No. 4
A plane-wave DFT calculation with PBE-GGA was carried out for Mg2Zn4Pt3 after structural relaxation.

Calculated values
DFT formation energy = -4.88 eV/f.u.

a b c (Å): 4.8953 4.8953 8.3468
angles (deg): 108.86 108.86 47.20
Closest atoms and distances in Å follow each position.
Element x y z (fractional)
Mg 0.1633 0.1633 0.2286  5 Pt 2.66-2.85, 7 Zn 2.78-2.88
Mg 0.8367 0.8367 0.7714  5 Pt 2.66-2.85, 7 Zn 2.78-2.88
Zn 0.1687 0.1687 0.8927  4 Pt 2.68-2.81, 4 Zn 2.71-2.83, 4 Mg 2.79-2.87
Zn 0.4939 0.4939 0.6555  3 Zn 2.64-2.83, 6 Pt 2.75-2.86, 3 Mg 2.78-2.88
Zn 0.5061 0.5061 0.3445  3 Zn 2.64-2.83, 6 Pt 2.75-2.86, 3 Mg 2.78-2.88
Zn 0.8313 0.8313 0.1073  4 Pt 2.68-2.81, 4 Zn 2.71-2.83, 4 Mg 2.79-2.87
Pt 0.1691 0.1691 0.5722  3 Mg 2.66-2.85, 6 Zn 2.68-2.76, 3 Pt 2.84-2.94
Pt 0.5000 0.5000 0.0000  4 Mg 2.77, 8 Zn 2.79-2.86
Pt 0.8309 0.8309 0.4278  3 Mg 2.66-2.85, 6 Zn 2.68-2.76, 3 Pt 2.84-2.94


No. 5
A plane-wave DFT calculation with PBE-GGA was carried out for PrCuNiPt3 after structural relaxation.

Calculated values
DFT formation energy = -2.11 eV/f.u.

a b c (Å): 6.9336 6.9336 5.5013
angles (deg): 90.00 90.00 125.59
Closest atoms and distances in Å follow each position.
Element x y z (fractional)
Pr 0.2071 0.7929 0.7500  1 Ni 2.68, 2 Cu 2.84
Pr 0.7929 0.2071 0.2500  1 Ni 2.68, 2 Cu 2.84
Cu 0.1494 0.8506 0.2500  5 Pt 2.52-2.65
Cu 0.8506 0.1494 0.7500  5 Pt 2.52-2.65
Ni 0.4246 0.5754 0.7500  5 Pt 2.49-2.73, 1 Pr 2.68
Ni 0.5754 0.4246 0.2500  5 Pt 2.49-2.73, 1 Pr 2.68
Pt 0.2078 0.2078 0.0000  2 Ni 2.49, 3 Pt 2.63-2.75, 2 Cu 2.65
Pt 0.2078 0.2078 0.5000  2 Ni 2.49, 3 Pt 2.63-2.75, 2 Cu 2.65
Pt 0.3538 0.6462 0.2500  1 Cu 2.52, 1 Ni 2.73
Pt 0.6462 0.3538 0.7500  1 Cu 2.52, 1 Ni 2.73
Pt 0.7922 0.7922 0.0000  2 Ni 2.49, 3 Pt 2.63-2.75, 2 Cu 2.65
Pt 0.7922 0.7922 0.5000  2 Ni 2.49, 3 Pt 2.63-2.75, 2 Cu 2.65


No. 6
A plane-wave DFT calculation with PBE-GGA was carried out for TiPdW2 after structural relaxation.

Calculated values
DFT formation energy = 1.86 eV/f.u.

a b c (Å): 10.2676 10.2676 10.2676
angles (deg): 159.11 159.11 29.71
Closest atoms and distances in Å follow each position.
Element x y z (fractional)
Ti 0.0000 0.0000 0.0000  4 Pd 2.63, 4 W 2.79
Ti 0.7500 0.2500 0.5000  4 Pd 2.63, 4 W 2.79
Pd 0.2500 0.7500 0.5000  4 Ti 2.63, 4 W 2.82
Pd 0.5000 0.5000 0.0000  4 Ti 2.63, 4 W 2.82
W 0.1123 0.6250 0.9873  4 W 2.57-2.70, 2 Ti 2.79, 2 Pd 2.82
W 0.3750 0.3623 0.4873  4 W 2.57-2.70, 2 Ti 2.79, 2 Pd 2.82
W 0.6377 0.1250 0.0127  4 W 2.57-2.70, 2 Ti 2.79, 2 Pd 2.82
W 0.8750 0.8877 0.5127  4 W 2.57-2.70, 2 Ti 2.79, 2 Pd 2.82


| no. | E_tot (eV per atom) |
| --- | --- |
| 1 | -2.4929 |
| 2 | -8.7810 |
| 3 | -2.5527 |
| 4 | -3.4766 |
| 5 | -5.8153 |
| 6 | -9.2824 |